Below is an optimized crystal structure of SbPtBr2, with properties calculated at the PBE level.

```
data_SbPtBr2
_chemical_formula_sum 'Sb1 Pt1 Br2'
_cell_length_a 5.4918
_cell_length_b 3.8126
_cell_length_c 5.5117
_cell_angle_alpha 90.00
_cell_angle_beta 104.87
_cell_angle_gamma 90.00
_space_group_name_H-M_alt 'P 1 m 1'
_space_group_IT_number 6
_space_group_name_Hall 'P -2y'
loop_
_atom_site_label
_atom_site_type_symbol
_atom_site_fract_x
_atom_site_fract_y
_atom_site_fract_z
_atom_site_occupancy
Sb1 Sb 0.0000 0.0000 0.0000 1
Pt1 Pt 0.8086 0.5000 0.6888 1
Br1 Br 0.3275 0.5000 0.7046 1
Br2 Br 0.6745 0.0000 0.3157 1
```

## Properties
As for the energy above the most stable polymorph in this dataset: 0.1066 eV per atom. For the raw total energy, the calculation gives -14.6 eV for the cell shown. For the calculated volume, the calculation gives 27.89 Å³ per atom. The magnetization is 0.0 μB per formula unit. As for the formation energy (no corrections): -6.29 kcal/mol of atoms.